# PmBeHg

An optimized crystal structure of PmBeHg (PBE, OQMD).

The calculation puts the energy above the lowest structure with this stoichiometry at 0.278 eV/atom. Its space group is F-43m (216).

a = 4.868 Å, b = 4.868 Å, c = 4.868 Å
α = 60.00°, β = 60.00°, γ = 60.00°
Atoms (fractional coordinates):
Pm 0.000 0.000 0.000
Be 0.250 0.250 0.250
Hg 0.750 0.750 0.750

# PrBeHg

An optimized crystal structure of PrBeHg (PBE, OQMD).

The calculation puts the energy above the lowest structure with this stoichiometry at 0.000 eV/atom. Its space group is F-43m (216).

a = 4.807 Å, b = 4.807 Å, c = 4.807 Å
α = 60.00°, β = 60.00°, γ = 60.00°
Each line ends with the local moment (μB).
Atoms (fractional coordinates):
Pr 0.750 0.750 0.750  0.14
Hg 0.000 0.000 0.000  0.07
Be 0.250 0.250 0.250  0.07

# PrBeHg

An optimized crystal structure of PrBeHg (PBE, OQMD).

The calculation puts the energy above the lowest structure with this stoichiometry at 0.262 eV/atom. Its space group is F-43m (216).

a = 4.933 Å, b = 4.933 Å, c = 4.933 Å
α = 60.00°, β = 60.00°, γ = 60.00°
Atoms (fractional coordinates):
Pr 0.000 0.000 0.000
Hg 0.750 0.750 0.750
Be 0.250 0.250 0.250

# BeHgPt2

An optimized crystal structure of BeHgPt2 (PBE, OQMD).

The energy is -15.77 eV/cell. Its space group is F-43m (216).

a = 4.461 Å, b = 4.461 Å, c = 4.461 Å
α = 60.00°, β = 60.00°, γ = 60.00°
Atoms (fractional coordinates):
Pt 0.750 0.750 0.750
Be 0.500 0.500 0.500
Pt 0.000 0.000 0.000
Hg 0.250 0.250 0.250

# BeHg2Pt

An optimized crystal structure of BeHg2Pt (PBE, OQMD).

The energy is -9.13 eV/cell. Its space group is F-43m (216).

a = 4.605 Å, b = 4.605 Å, c = 4.605 Å
α = 60.00°, β = 60.00°, γ = 60.00°
Atoms (fractional coordinates):
Hg 0.000 0.000 0.000
Be 0.500 0.500 0.500
Pt 0.250 0.250 0.250
Hg 0.750 0.750 0.750

# BeSiHgPt

An optimized crystal structure of BeSiHgPt (PBE, OQMD).

The calculation puts the energy above the lowest structure with this stoichiometry at 0.000 eV/atom. Its space group is F-43m (216).

a = 4.416 Å, b = 4.416 Å, c = 4.416 Å
α = 60.00°, β = 60.00°, γ = 60.00°
Atoms (fractional coordinates):
Pt 0.500 0.500 0.500
Hg 0.000 0.000 0.000
Be 0.750 0.750 0.750
Si 0.250 0.250 0.250

# BeSiHgPt

An optimized crystal structure of BeSiHgPt (PBE, OQMD).

The calculation puts the energy above the lowest structure with this stoichiometry at 0.158 eV/atom. Its space group is F-43m (216).

a = 4.475 Å, b = 4.475 Å, c = 4.475 Å
α = 60.00°, β = 60.00°, γ = 60.00°
Atoms (fractional coordinates):
Si 0.000 0.000 0.000
Hg 0.500 0.500 0.500
Pt 0.250 0.250 0.250
Be 0.750 0.750 0.750

# ZrBeHgPt

An optimized crystal structure of ZrBeHgPt (PBE, OQMD).

The calculation puts the energy above the lowest structure with this stoichiometry at 0.000 eV/atom. Its space group is F-43m (216).

a = 4.581 Å, b = 4.581 Å, c = 4.581 Å
α = 60.00°, β = 60.00°, γ = 60.00°
Atoms (fractional coordinates):
Be 0.750 0.750 0.750
Hg 0.500 0.500 0.500
Pt 0.250 0.250 0.250
Zr 0.000 0.000 0.000